Record 1
Material: LiCoP3O9
Method: DFT, meta-GGA SCAN
State: PBEsol geometry Values from VASP.

Uncorrected energy   -277.7 eV for the cell shown
Total moment   3.0 μB per formula unit

Quantum ESPRESSO input file:
```
&SYSTEM
  ibrav = 0, nat = 28, ntyp = 4
/
ATOMIC_SPECIES
O 16.00 O.upf
Co 58.93 Co.upf
P 30.97 P.upf
Li 6.94 Li.upf
CELL_PARAMETERS angstrom
-5.1107 0.3854 3.8190
-3.9557 -0.6021 -5.5288
1.1425 -6.8119 1.8457
ATOMIC_POSITIONS crystal
O 0.1674 0.3758 0.0632
O 0.1114 0.2743 0.6691
O 0.9507 0.1854 0.3213
O 0.5631 0.3889 0.1574
O 0.1743 0.8949 0.0688
O 0.4369 0.6111 0.8426
O 0.4336 0.0565 0.8255
O 0.8326 0.6242 0.9368
O 0.5664 0.9435 0.1745
O 0.2870 0.0315 0.4154
O 0.7130 0.9685 0.5846
O 0.8257 0.1051 0.9312
O 0.8886 0.7257 0.3309
O 0.3352 0.6849 0.2834
O 0.2878 0.3954 0.4093
O 0.0493 0.8146 0.6787
O 0.7122 0.6046 0.5907
O 0.6648 0.3151 0.7166
Co 0.8639 0.9136 0.1283
Co 0.1361 0.0864 0.8717
P 0.3508 0.8896 0.2176
P 0.6492 0.1104 0.7824
P 0.3480 0.4479 0.2069
P 0.1402 0.2214 0.4564
P 0.8598 0.7786 0.5436
P 0.6520 0.5521 0.7931
Li 0.8591 0.4200 0.1658
Li 0.1409 0.5800 0.8342
```

---

Record 2
Material: Te2HPd
Method: DFT, meta-GGA SCAN
State: PBEsol geometry Values from VASP.

Uncorrected energy   -110.9 eV for the cell shown
Total moment   0.0 μB per formula unit

Quantum ESPRESSO input file:
```
&SYSTEM
  ibrav = 0, nat = 4, ntyp = 3
/
ATOMIC_SPECIES
Pd 106.42 Pd.upf
H 1.01 H.upf
Te 127.60 Te.upf
CELL_PARAMETERS angstrom
4.0769 0.0000 0.0000
2.0385 3.5307 0.0000
2.0385 1.1769 6.5966
ATOMIC_POSITIONS crystal
Pd 0.5000 0.5000 0.5000
H 0.0000 0.0000 0.0000
Te 0.0996 0.0996 0.7013
Te 0.9004 0.9004 0.2987
```

---

Record 3
Material: SiNi2Au
Method: DFT, meta-GGA SCAN
State: PBEsol geometry Values from VASP.

Uncorrected energy   -112.0 eV for the cell shown
Total moment   0.0 μB per formula unit

Quantum ESPRESSO input file:
```
&SYSTEM
  ibrav = 0, nat = 4, ntyp = 3
/
ATOMIC_SPECIES
Si 28.09 Si.upf
Ni 58.69 Ni.upf
Au 196.97 Au.upf
CELL_PARAMETERS angstrom
3.6292 0.0000 0.0000
0.0000 3.6292 0.0000
-1.8146 -1.8146 3.7232
ATOMIC_POSITIONS crystal
Si 0.5000 0.5000 0.0000
Ni 0.0000 0.0000 0.0000
Ni 0.7500 0.2500 0.5000
Au 0.2500 0.7500 0.5000
```

---

Record 4
Material: GaAgH2
Method: DFT, meta-GGA SCAN
State: PBEsol geometry Values from VASP.

Uncorrected energy   -51.4 eV for the cell shown
Total moment   0.0 μB per formula unit

Quantum ESPRESSO input file:
```
&SYSTEM
  ibrav = 0, nat = 4, ntyp = 3
/
ATOMIC_SPECIES
Ag 107.87 Ag.upf
H 1.01 H.upf
Ga 69.72 Ga.upf
CELL_PARAMETERS angstrom
3.9352 0.0000 0.0000
1.9676 3.4080 0.0000
1.9676 1.1360 3.2131
ATOMIC_POSITIONS crystal
Ag 0.5000 0.5000 0.5000
H 0.2500 0.2500 0.2500
H 0.7500 0.7500 0.7500
Ga 0.0000 0.0000 0.0000
```

---

Record 5
Material: Ca2MoPd2
Method: DFT, meta-GGA SCAN
State: PBEsol geometry Values from VASP.

Energy of formation   0.3599 eV per atom
Total moment   3.6 μB per formula unit

Quantum ESPRESSO input file:
```
&SYSTEM
  ibrav = 0, nat = 5, ntyp = 3
/
ATOMIC_SPECIES
Pd 106.42 Pd.upf
Ca 40.08 Ca.upf
Mo 95.94 Mo.upf
CELL_PARAMETERS angstrom
-0.4257 3.5290 -0.8787
-3.4146 -0.0834 1.3194
4.7886 0.5068 7.3440
ATOMIC_POSITIONS crystal
Pd 0.2500 0.7500 0.5000
Pd 0.7500 0.2500 0.5000
Ca 0.3869 0.3869 0.7738
Ca 0.6131 0.6131 0.2262
Mo 0.0000 0.0000 0.0000
```

---

Record 6
Material: CdAgW2
Method: DFT, meta-GGA SCAN
State: PBEsol geometry Values from VASP.

Energy of formation   0.3491 eV per atom
Total moment   0.0 μB per formula unit

Quantum ESPRESSO input file:
```
&SYSTEM
  ibrav = 0, nat = 4, ntyp = 3
/
ATOMIC_SPECIES
W 183.84 W.upf
Ag 107.87 Ag.upf
Cd 112.41 Cd.upf
CELL_PARAMETERS angstrom
-1.2534 2.1872 1.0795
-1.6779 -2.1612 0.1848
3.5997 -2.0775 8.3886
ATOMIC_POSITIONS crystal
W 0.0000 0.0000 0.9875
W 0.5000 0.5000 0.7558
Ag 0.0000 0.0000 0.5063
Cd 0.5000 0.5000 0.2504
```

---

Record 7
Material: CrGeCl2
Method: DFT, meta-GGA SCAN
State: PBEsol geometry Values from VASP.

Uncorrected energy   -53.5 eV for the cell shown
Total moment   4.7 μB per formula unit

Quantum ESPRESSO input file:
```
&SYSTEM
  ibrav = 0, nat = 4, ntyp = 3
/
ATOMIC_SPECIES
Cr 52.00 Cr.upf
Ge 72.64 Ge.upf
Cl 35.45 Cl.upf
CELL_PARAMETERS angstrom
4.6913 0.0000 0.0000
2.3457 4.0628 0.0000
2.3457 1.3543 3.8305
ATOMIC_POSITIONS crystal
Cr 0.0000 0.0000 0.0000
Ge 0.5000 0.5000 0.5000
Cl 0.7500 0.7500 0.7500
Cl 0.2500 0.2500 0.2500
```

---

Record 8
Material: Ca2TaNbPt
Method: DFT, meta-GGA SCAN
State: PBEsol geometry Values from VASP.

Energy of formation   1.4831 eV per atom
Total moment   3.2 μB per formula unit

Quantum ESPRESSO input file:
```
&SYSTEM
  ibrav = 0, nat = 5, ntyp = 4
/
ATOMIC_SPECIES
Ca 40.08 Ca.upf
Pt 195.08 Pt.upf
Nb 92.91 Nb.upf
Ta 180.95 Ta.upf
CELL_PARAMETERS angstrom
4.7708 0.0000 0.0000
0.0000 5.1890 0.0000
0.0000 0.0000 5.1890
ATOMIC_POSITIONS crystal
Ca 0.0000 0.0000 0.5000
Ca 0.0000 0.5000 0.0000
Pt 0.5000 0.0000 0.0000
Nb 0.0000 0.0000 0.0000
Ta 0.5000 0.5000 0.5000
```

---

Which of these has the highest total moment? CrGeCl2

---

total moment of number 8 (Ca2TaNbPt)? 3.2 μB per formula unit

---

What is the total moment in the first record? 3.0 μB per formula unit